DFT (GGA-PBE) results for crystalline UPaTlS6 at its relaxed geometry.

Formation energy (no corrections), eV/atom: -1.034

Cell lengths 9.5562, 9.6015, 13.5492 Å; angles 90.00, 90.00, 90.00 degrees
Space group Imma (No. 74)
One atom of each set of equivalent atoms:
1 U 0.0000 0.0000 0.0000 [4 per cell]
2 Pa 0.2500 0.2500 0.2500 [4 per cell]
3 Tl 0.0000 0.2500 0.5479 [4 per cell]
4 S 0.0000 0.2500 0.3332 [4 per cell]
5 S 0.0000 0.2500 0.9354 [4 per cell]
6 S 0.1944 0.0485 0.1241 [16 per cell]